First-principles (PBE) data for crystalline GaIrS2N at its relaxed geometry, as listed in the Alexandria database.

```
GaIrS2N
1.0
4.7625 0.0000 0.0000
0.0000 4.7625 0.0000
0.0000 0.0000 3.5691
S Ir Ga N
2 1 1 1
direct
0.0000 0.5000 0.0000 S
0.5000 0.0000 0.0000 S
0.5000 0.5000 0.5000 Ir
0.0000 0.0000 0.0000 Ga
0.0000 0.0000 0.5000 N
```

Summary:
* space group: No. 123
* magnetization: 1.60 μB/cell
* V: 16.191 Å³/atom
* energy relative to the lowest polymorph listed for this composition: 896.1 meV per atom
* D(E_F): 0.583 states/eV per atom
* uncorrected energy: -4.434 eV per atom

=====

First-principles (PBE) data for crystalline CuSbIr2 at its relaxed geometry, as listed in the Alexandria database.

```
CuSbIr2
1.0
-1.5382 -2.0269 -3.6980
-0.9442 -2.2536 1.6279
-4.3259 2.1743 0.6076
Cu Ir Sb
1 2 1
direct
0.5000 0.7500 0.7500 Cu
0.0000 0.0019 0.9870 Ir
0.0000 0.4981 0.5130 Ir
0.5000 0.2500 0.2500 Sb
```

Summary:
* space group: No. 10
* magnetization: 0.00 μB/cell
* V: 16.076 Å³/atom
* D(E_F): 0.950 states/eV per atom
* uncorrected energy: -6.204 eV per atom